Entry 1:
Crystalline AlGa4Mo2 at its relaxed geometry, computed with GGA-PBE.

The formation energy is 0.7496 eV per atom. As for the calculated density: 5.30 g/cm³. For the total energy, the calculation gives -32.27 eV/cell.

```
7
Lattice="-2.462 2.462 6.435 2.462 -2.462 6.435 2.462 2.462 -6.435" Properties=species:S:1:pos:R:3 pbc="T T T"
Al 0.000 0.000 0.000
Ga 2.462 0.000 0.000
Ga 0.000 0.000 2.550
Ga 0.000 2.462 0.000
Ga 0.000 0.000 10.320
Mo 0.000 0.000 5.294
Mo 0.000 0.000 7.576
```

Entry 2:
Crystalline VH2Ir2 at its relaxed geometry, computed with GGA-PBE.

As for the calculated density: 14.54 g/cm³. The calculation puts the distance to the lowest polymorph of the same formula at 0.00 kcal/mol of atoms. For the total energy, the calculation gives -66.95 eV/cell.

```
10
Lattice="5.934 0.000 0.000 0.000 5.934 0.000 0.000 0.000 2.837" Properties=species:S:1:pos:R:3 pbc="T T T"
V 0.000 0.000 0.000
V 2.967 2.967 0.000
H 1.272 1.695 0.000
H 1.695 4.662 0.000
H 4.239 1.272 0.000
H 4.662 4.239 0.000
Ir 0.921 3.888 1.419
Ir 2.046 0.921 1.419
Ir 3.888 5.013 1.419
Ir 5.013 2.046 1.419
```

Entry 3:
Crystalline AlAs2PbBr at its relaxed geometry, computed with GGA-PBE.

The calculation puts the uncorrected formation energy at 0.0855 eV per atom. As for the calculated density: 6.04 g/cm³. The calculation puts the distance to the lowest polymorph of the same formula at 0.00 kcal/mol of atoms. For the total energy, the calculation gives -18.00 eV/cell.

```
5
Lattice="4.917 0.000 0.000 0.000 4.917 0.000 0.000 0.000 5.274" Properties=species:S:1:pos:R:3 pbc="T T T"
Al 0.000 0.000 0.000
As 0.000 2.459 0.000
As 2.459 0.000 0.000
Pb 2.459 2.459 2.637
Br 0.000 0.000 2.637
```

Entry 4:
Crystalline Sc8Os2Pt at its relaxed geometry, computed with GGA-PBE.

The formation energy is -0.4976 eV per atom. As for the calculated density: 6.95 g/cm³. For the total energy, the calculation gives -84.63 eV/cell.

```
11
Lattice="-2.353 7.314 3.247 2.353 -7.314 3.247 2.353 7.314 -3.247" Properties=species:S:1:pos:R:3 pbc="T T T"
Sc 0.000 0.000 0.000
Sc 2.353 2.347 0.437
Sc 2.353 5.713 -0.558
Sc 0.000 4.287 0.678
Sc 0.000 1.601 2.689
Sc 0.000 7.314 1.286
Sc 0.000 10.342 0.678
Sc 0.000 4.967 3.684
Os 2.353 4.859 1.964
Os 0.000 2.455 5.211
Pt 2.353 0.000 1.886
```

Entry 5:
Crystalline HoAgCl4 at its relaxed geometry, computed with GGA-PBE.

The calculation puts the uncorrected formation energy at -1.6471 eV per atom. As for the calculated density: 3.75 g/cm³. For the total energy, the calculation gives -49.40 eV/cell.

```
12
Lattice="4.159 -7.964 0.000 4.159 7.964 0.000 -3.731 0.000 5.548" Properties=species:S:1:pos:R:3 pbc="T T T"
Ho 1.360 6.842 4.161
Ho 3.226 -6.842 1.387
Ag 3.226 2.887 1.387
Ag 1.360 -2.887 4.161
Cl 0.816 3.048 1.180
Cl -0.848 0.723 3.998
Cl 1.018 -0.723 1.224
Cl -1.050 -3.048 3.954
Cl 5.636 3.048 1.594
Cl 3.569 0.723 4.324
Cl 5.434 -0.723 1.550
Cl 3.771 -3.048 4.368
```

Entry 6:
Crystalline CaMoCN2 at its relaxed geometry, computed with GGA-PBE.

The calculation puts the uncorrected formation energy at 0.2019 eV per atom. As for the calculated density: 4.45 g/cm³. For the total energy, the calculation gives -37.70 eV/cell.

```
5
Lattice="4.006 0.000 0.000 0.000 4.006 0.000 0.000 0.000 4.094" Properties=species:S:1:pos:R:3 pbc="T T T"
Ca 0.000 0.000 0.000
Mo 2.003 2.003 2.047
C 2.003 2.003 0.000
N 0.000 2.003 2.047
N 2.003 0.000 2.047
```

Entry 7:
Crystalline MgInSi2 at its relaxed geometry, computed with GGA-PBE.

The calculation puts the uncorrected formation energy at 0.2114 eV per atom. As for the calculated density: 3.97 g/cm³. The calculation puts the distance to the lowest polymorph of the same formula at 0.69 kcal/mol of atoms. For the total energy, the calculation gives -14.33 eV/cell.

```
4
Lattice="2.981 0.000 0.000 0.000 3.753 0.000 -0.010 0.000 7.297" Properties=species:S:1:pos:R:3 pbc="T T T"
Mg 0.000 0.000 0.000
In 1.472 1.876 5.168
Si 1.473 0.000 2.945
Si 1.491 1.876 1.461
```

Entry 8:
Crystalline InCoSnS2 at its relaxed geometry, computed with GGA-PBE.

The calculation puts the uncorrected formation energy at 0.9854 eV per atom. As for the calculated density: 4.11 g/cm³. The calculation puts the distance to the lowest polymorph of the same formula at 6.27 kcal/mol of atoms. For the total energy, the calculation gives -17.18 eV/cell.

```
5
Lattice="5.023 0.000 0.000 0.000 5.023 0.000 0.000 0.000 5.705" Properties=species:S:1:pos:R:3 pbc="T T T"
In 0.000 0.000 0.000
Co 2.512 2.512 0.000
Sn 0.000 0.000 2.852
S 0.000 2.512 2.852
S 2.512 0.000 2.852
```

Entry 9:
Crystalline MgTcOs3 at its relaxed geometry, computed with GGA-PBE.

The formation energy is 1.8396 eV per atom. As for the calculated density: 11.23 g/cm³. The calculation puts the distance to the lowest polymorph of the same formula at 0.00 kcal/mol of atoms. For the total energy, the calculation gives -36.45 eV/cell.

```
5
Lattice="4.679 0.000 0.000 0.000 4.679 0.000 0.000 0.000 4.679" Properties=species:S:1:pos:R:3 pbc="T T T"
Mg 0.000 0.000 0.000
Tc 2.340 2.340 2.340
Os 0.000 2.340 2.340
Os 2.340 0.000 2.340
Os 2.340 2.340 0.000
```

Entry 10:
Crystalline LiErZnF6 at its relaxed geometry, computed with GGA-PBE.

The calculation puts the uncorrected formation energy at -3.1830 eV per atom. As for the calculated density: 4.99 g/cm³. For the total energy, the calculation gives -95.25 eV/cell.

```
18
Lattice="5.502 0.000 0.000 -2.751 4.765 0.000 0.000 0.000 8.981" Properties=species:S:1:pos:R:3 pbc="T T T"
Li 0.000 0.000 0.000
Li 0.000 0.000 4.491
Er 0.000 3.176 2.245
Er 2.751 1.588 6.736
Zn 0.000 3.176 6.736
Zn 2.751 1.588 2.245
F -0.868 1.642 5.645
F -1.763 3.192 7.828
F 0.868 1.642 7.828
F -0.895 4.695 5.645
F 1.856 0.069 1.154
F 0.988 1.573 3.337
F 1.763 3.192 5.645
F 0.895 4.695 7.828
F 3.646 0.069 3.337
F 1.883 3.123 1.154
F 4.514 1.573 1.154
F 3.619 3.123 3.337
```

Entry 11:
Crystalline Pm6TeAs2Pb3 at its relaxed geometry, computed with GGA-PBE.

The calculation puts the uncorrected formation energy at -0.9893 eV per atom. As for the calculated density: 7.98 g/cm³. For the total energy, the calculation gives -63.94 eV/cell.

```
12
Lattice="9.911 -2.139 0.000 9.911 2.139 0.000 -2.993 0.000 8.687" Properties=species:S:1:pos:R:3 pbc="T T T"
Pm -0.566 0.000 2.194
Pm 5.157 0.000 3.792
Pm 3.913 0.000 7.790
Pm 12.916 0.000 0.897
Pm 11.672 0.000 4.895
Pm 17.396 0.000 6.493
Te 9.911 0.000 0.000
As 2.328 0.000 2.883
As 14.501 0.000 5.804
Pb 0.750 0.000 7.190
Pb 8.415 0.000 4.344
Pb 16.079 0.000 1.497
```

Entry 12:
Crystalline Ca8GeBi2 at its relaxed geometry, computed with GGA-PBE.

The formation energy is -0.4626 eV per atom. As for the calculated density: 3.60 g/cm³. For the total energy, the calculation gives -33.48 eV/cell.

```
11
Lattice="10.325 -2.575 0.000 10.325 2.575 0.000 -1.631 0.000 7.032" Properties=species:S:1:pos:R:3 pbc="T T T"
Ca 0.072 0.000 2.059
Ca 3.194 0.000 5.766
Ca 6.435 0.000 3.560
Ca 8.402 0.000 0.429
Ca 10.618 0.000 6.603
Ca 12.584 0.000 3.472
Ca 15.826 0.000 1.266
Ca 18.948 0.000 4.973
Ge 9.510 0.000 3.516
Bi 3.407 0.000 1.770
Bi 15.612 0.000 5.262
```